CeGaHgPb: relaxed, PBE-GGA.

DOS at the Fermi energy in states/eV per atom: 1.688
Total magnetization in μB/f.u.: 0.94
Energy in eV per atom: -3.4845
Calculated volume in Å³/cell: 414
SG: No. 216

a b c (Å): 7.455 7.455 7.455
angles (deg): 90.00 90.00 90.00
Sites, in units of the cell vectors:
Ce  0.000  0.000  0.000
Ce  0.000  0.500  0.500
Ce  0.500  0.000  0.500
Ce  0.500  0.500  0.000
Ga  0.250  0.250  0.750
Ga  0.250  0.750  0.250
Ga  0.750  0.250  0.250
Ga  0.750  0.750  0.750
Hg  0.250  0.250  0.250
Hg  0.250  0.750  0.750
Hg  0.750  0.250  0.750
Hg  0.750  0.750  0.250
Pb  0.000  0.000  0.500
Pb  0.000  0.500  0.000
Pb  0.500  0.000  0.000
Pb  0.500  0.500  0.500